Record 1
## Ca4Mg4Fe3H22 (PBE)

Data for crystalline Ca4Mg4Fe3H22 at its relaxed geometry.

abc: 6.6390 6.6390 6.6390
angles: 90.00 90.00 90.00
Space group P-43m (No. 215)
Asymmetric unit:
Ca: 0.2077 0.2077 0.2077 [4 per cell]
Mg: 0.2877 0.2877 0.7123 [4 per cell]
Fe: 0.0000 0.5000 0.5000 [3 per cell]
H: 0.0000 0.2619 0.5000 [12 per cell]
H: 0.1269 0.1269 0.8731 [4 per cell]
H: 0.2375 0.5000 0.5000 [6 per cell]

Record 2
## Nb2ReRh (PBE)

Data for crystalline Nb2ReRh at its relaxed geometry.

DOS(E_F) (states/eV per cell): 3.88

abc: 3.2253 3.2253 6.3306
angles: 90.00 90.00 90.00
Space group P4/mmm (No. 123)
Asymmetric unit:
Nb: 0.0000 0.0000 0.2441 [2 per cell]
Re: 0.5000 0.5000 0.0000 [1 per cell]
Rh: 0.5000 0.5000 0.5000 [1 per cell]

Record 3
## LiPaCdBr6 (PBE)

Data for crystalline LiPaCdBr6 at its relaxed geometry.

Formation energy (no corrections) (kJ per mole of atoms): -118.9
DOS(E_F) (states/eV per cell): 6.10

abc: 7.0381 7.0381 17.4018
angles: 90.00 90.00 120.00
Space group P-31c (No. 163)
Asymmetric unit:
Li: 0.3333 0.6667 0.2500 [2 per cell]
Pa: 0.3333 0.6667 0.7500 [2 per cell]
Cd: 0.0000 0.0000 0.0000 [2 per cell]
Br: 0.0067 0.3601 0.6592 [12 per cell]

Record 4
## Y2HPdPb (PBE)

Data for crystalline Y2HPdPb at its relaxed geometry.

DOS(E_F) (states/eV per cell): 4.79

abc: 5.8776 5.8776 3.7546
angles: 90.00 90.00 90.00
Space group P4/mmm (No. 123)
Asymmetric unit:
Y: 0.0000 0.5000 0.0000 [2 per cell]
H: 0.0000 0.0000 0.5000 [1 per cell]
Pd: 0.5000 0.5000 0.5000 [1 per cell]
Pb: 0.0000 0.0000 0.0000 [1 per cell]

Record 5
## Dy3PtI3 (PBE)

Data for crystalline Dy3PtI3 at its relaxed geometry.

Formation energy (no corrections) (kJ per mole of atoms): -115.0
DOS(E_F) (states/eV per cell): 7.30

abc: 9.0941 4.1778 12.2682
angles: 90.00 92.74 90.00
Space group P2_1/m (No. 11)
Asymmetric unit:
Dy: 0.1011 0.2500 0.3276 [2 per cell]
Dy: 0.1256 0.2500 0.8718 [2 per cell]
Dy: 0.2805 0.7500 0.1075 [2 per cell]
Pt: 0.0786 0.2500 0.1030 [2 per cell]
I: 0.1422 0.2500 0.6061 [2 per cell]
I: 0.3579 0.7500 0.3643 [2 per cell]
I: 0.4109 0.7500 0.8670 [2 per cell]

Record 6
## KMnTe (PBE)

Data for crystalline KMnTe at its relaxed geometry.

Formation energy (no corrections) (kJ per mole of atoms): 12.8
DOS(E_F) (states/eV per cell): 17.49

abc: 7.0057 7.0057 7.0057
angles: 90.00 90.00 90.00
Space group F-43m (No. 216)
Asymmetric unit:
K: 0.0000 0.0000 0.0000 [4 per cell]
Mn: 0.2500 0.2500 0.2500 [4 per cell]
Te: 0.0000 0.0000 0.5000 [4 per cell]

Record 7
## LiAgIrF6 (PBE)

Data for crystalline LiAgIrF6 at its relaxed geometry.

Formation energy (no corrections) (kJ per mole of atoms): -167.9
DOS(E_F) (states/eV per cell): 17.14

abc: 5.3414 5.3414 10.3313
angles: 90.00 90.00 120.00
Space group P-31c (No. 163)
Asymmetric unit:
Li: 0.3333 0.6667 0.2500 [2 per cell]
Ag: 0.0000 0.0000 0.0000 [2 per cell]
Ir: 0.3333 0.6667 0.7500 [2 per cell]
F: 0.0142 0.3675 0.6446 [12 per cell]

Record 8
## Pm2Ge4Rh3Au (PBE)

Data for crystalline Pm2Ge4Rh3Au at its relaxed geometry.

DOS(E_F) (states/eV per cell): 5.69

abc: 4.3073 4.3073 10.1932
angles: 90.00 90.00 90.00
Space group P-4m2 (No. 115)
Asymmetric unit:
Pm: 0.0000 0.5000 0.2388 [2 per cell]
Ge: 0.0000 0.0000 0.0000 [1 per cell]
Ge: 0.0000 0.5000 0.6413 [2 per cell]
Ge: 0.5000 0.5000 0.0000 [1 per cell]
Rh: 0.0000 0.5000 0.8782 [2 per cell]
Rh: 0.5000 0.5000 0.5000 [1 per cell]
Au: 0.0000 0.0000 0.5000 [1 per cell]

Record 9
## CsEuO2 (PBE)

Data for crystalline CsEuO2 at its relaxed geometry.

Formation energy (no corrections) (kJ per mole of atoms): -205.5
DOS(E_F) (states/eV per cell): 14.07

abc: 3.6648 3.6648 20.6669
angles: 90.00 90.00 120.00
Space group R-3m (No. 166, hexagonal axes)
Asymmetric unit:
Cs: 0.0000 0.0000 0.0000 [3 per cell]
Eu: 0.0000 0.0000 0.5000 [3 per cell]
O: 0.0000 0.0000 0.2230 [6 per cell]

Record 10
## La2Sm3Pt4 (PBE)

Data for crystalline La2Sm3Pt4 at its relaxed geometry.

DOS(E_F) (states/eV per cell): 12.31

abc: 7.7355 7.7819 8.1025
angles: 90.00 108.57 90.00
Space group P2_1/c (No. 14)
Asymmetric unit:
La: 0.2017 0.1783 0.0932 [4 per cell]
Sm: 0.2435 0.6652 0.2502 [4 per cell]
Sm: 0.5000 0.0000 0.5000 [2 per cell]
Pt: 0.0943 0.5338 0.8698 [4 per cell]
Pt: 0.4965 0.1324 0.8739 [4 per cell]

Record 11
## Zr3V4Fe2 (PBE)

Data for crystalline Zr3V4Fe2 at its relaxed geometry.

DOS(E_F) (states/eV per cell): 17.03

abc: 5.0462 5.0998 12.5806
angles: 89.06 88.54 60.99
Space group P-1 (No. 2)
Asymmetric unit:
Zr: 0.0057 0.4941 0.1212 [2 per cell]
Zr: 0.3320 0.8328 0.5429 [2 per cell]
Zr: 0.3342 0.8395 0.7945 [2 per cell]
V: 0.0000 0.0000 0.0000 [1 per cell]
V: 0.0000 0.5000 0.5000 [1 per cell]
V: 0.1683 0.1618 0.3311 [2 per cell]
V: 0.3332 0.3362 0.6684 [2 per cell]
V: 0.3375 0.8236 0.1624 [2 per cell]
Fe: 0.1667 0.6633 0.3312 [2 per cell]
Fe: 0.5000 0.0000 0.0000 [1 per cell]
Fe: 0.5000 0.5000 0.0000 [1 per cell]

Record 12
## Y2SbAs (PBE)

Data for crystalline Y2SbAs at its relaxed geometry.

Formation energy (no corrections) (kJ per mole of atoms): -86.6
DOS(E_F) (states/eV per cell): 7.99

abc: 7.4087 7.4087 7.4087
angles: 90.00 90.00 90.00
Space group Fm-3m (No. 225)
Asymmetric unit:
Y: 0.2500 0.2500 0.2500 [8 per cell]
Sb: 0.0000 0.0000 0.0000 [4 per cell]
As: 0.0000 0.0000 0.5000 [4 per cell]

What calculated total energy values result from the calculations? In sequence: -3.874 -10.239 -3.717 -4.719 -4.691 -4.337 -4.502 -6.099 -7.391 -6.445 -8.942 -6.323 eV per atom.
What size of the total moment values result from the calculations? In sequence: 0.01 0.00 0.01 0.00 0.00 1.36 0.12 0.00 1.50 0.00 0.04 0.00 μB/atom.